Record 1
A relaxed structure of TaNi2Rh. Source: Alexandria, functional PBE.

The structure in extended XYZ format:
```
4
Lattice="-1.4828 -3.7557 -2.2719 -0.2389 -4.4730 1.1833 -3.4267 -1.1154 1.0021" Properties=species:S:1:pos:R:3 pbc="T T T"
Ni -2.5741 -4.6723 -0.0434
Ni -1.7219 -8.2285 -1.0885
Ta -3.8614 -7.0081 -0.0649
Rh -1.2871 -2.3360 -0.0216
```

VASP energy (eV/atom): -8.099
SG: I4/mmm, No. 139
Formation energy (eV/atom): -0.4071
DOS at the Fermi energy (states/eV/atom): 0.96
Total magnetic moment (μB/cell): 0.0


Record 2
A relaxed structure of NpGaRuO6. Source: Alexandria, functional PBE.

The structure in extended XYZ format:
```
18
Lattice="5.2301 0.0000 0.0000 -2.6150 4.5294 0.0000 0.0000 0.0000 8.8603" Properties=species:S:1:pos:R:3 pbc="T T T"
Np 2.6150 1.5098 2.2151
Np 0.0000 3.0196 6.6452
O 1.7169 0.0481 5.5562
O 0.8168 1.5109 3.3041
O -0.8982 4.4813 1.1261
O 4.3300 1.4628 5.5562
O 3.4319 3.0185 7.7342
O 0.9001 1.4628 7.7342
O -0.8168 1.5109 1.1261
O -1.7150 3.0666 3.3041
O 3.5132 0.0481 7.7342
O 0.8982 4.4813 3.3041
O 1.7150 3.0666 1.1261
O 1.7982 3.0185 5.5562
Ru 0.0000 0.0000 4.4301
Ru 0.0000 0.0000 0.0000
Ga 0.0000 3.0196 2.2151
Ga 2.6150 1.5098 6.6452
```

VASP energy (eV/atom): -7.898
SG: P-31c, No. 163
E_form (uncorrected) (meV per atom): -1788
DOS at the Fermi energy (states/eV/atom): 0.64
Total magnetic moment (μB/cell): 4.1


Record 3
A relaxed structure of LaPr2Al2Sn2. Source: Alexandria, functional PBE.

The structure in extended XYZ format:
```
7
Lattice="4.7333 0.0000 0.0000 2.3666 4.0991 0.0000 2.3666 1.3664 10.1034" Properties=species:S:1:pos:R:3 pbc="T T T"
La 0.0000 0.0000 0.0000
Al 4.7333 2.7328 7.7667
Al 4.7333 2.7328 2.3367
Pr 2.3666 1.3664 6.1605
Pr 7.0999 4.0991 3.9429
Sn 2.3666 1.3664 1.9970
Sn 7.0999 4.0991 8.1064
```

VASP energy (eV/atom): -4.664
SG: R-3m, No. 166
Formation energy (eV/atom): -0.3813
DOS at the Fermi energy (states/eV/atom): 0.52
Total magnetic moment (μB/cell): 0.0


Please write out number 2 again, unchanged.
A relaxed structure of NpGaRuO6. Source: Alexandria, functional PBE.

The structure in extended XYZ format:
```
18
Lattice="5.2301 0.0000 0.0000 -2.6150 4.5294 0.0000 0.0000 0.0000 8.8603" Properties=species:S:1:pos:R:3 pbc="T T T"
Np 2.6150 1.5098 2.2151
Np 0.0000 3.0196 6.6452
O 1.7169 0.0481 5.5562
O 0.8168 1.5109 3.3041
O -0.8982 4.4813 1.1261
O 4.3300 1.4628 5.5562
O 3.4319 3.0185 7.7342
O 0.9001 1.4628 7.7342
O -0.8168 1.5109 1.1261
O -1.7150 3.0666 3.3041
O 3.5132 0.0481 7.7342
O 0.8982 4.4813 3.3041
O 1.7150 3.0666 1.1261
O 1.7982 3.0185 5.5562
Ru 0.0000 0.0000 4.4301
Ru 0.0000 0.0000 0.0000
Ga 0.0000 3.0196 2.2151
Ga 2.6150 1.5098 6.6452
```

VASP energy (eV/atom): -7.898
SG: P-31c, No. 163
E_form (uncorrected) (meV per atom): -1788
DOS at the Fermi energy (states/eV/atom): 0.64
Total magnetic moment (μB/cell): 4.1